# 1
{"formula": "Li4Tm3PaSe8", "functional": "PBE", "state": "optimized geometry", "e_form_raw_ev_per_atom": -1.562, "sg": "R-3m (166)", "lattice_angstrom": [[8.048, 0.000, 0.000], [0.000, 8.001, -0.041], [-4.024, -4.019, 5.693]], "species": ["Li", "Li", "Li", "Li", "Tm", "Tm", "Tm", "Pa", "Se", "Se", "Se", "Se", "Se", "Se", "Se", "Se"], "frac_coords": [[0.500, 0.000, 0.000], [0.500, 0.000, 0.500], [0.000, 0.000, 0.000], [0.000, 0.000, 0.500], [0.500, 0.500, 0.000], [0.500, 0.500, 0.500], [0.000, 0.500, 0.500], [0.000, 0.500, 0.000], [0.254, 0.756, 0.002], [0.254, 0.756, 0.508], [0.250, 0.249, 0.499], [0.748, 0.756, 0.002], [0.252, 0.244, 0.998], [0.750, 0.751, 0.501], [0.746, 0.244, 0.492], [0.746, 0.244, 0.998]]}

---

# 2
{"formula": "La4TcTe2Br", "functional": "PBE", "state": "optimized geometry", "e_form_raw_ev_per_atom": -1.062, "sg": "P2/m (10)", "lattice_angstrom": [[-1.034, 3.842, 1.767], [-5.992, 0.712, -5.053], [-6.243, -3.247, 3.410]], "species": ["La", "La", "La", "La", "Tc", "Te", "Te", "Br"], "frac_coords": [[0.000, 0.721, 0.718], [0.000, 0.279, 0.282], [0.500, 0.720, 0.278], [0.500, 0.280, 0.722], [0.000, 0.500, 0.500], [0.000, 0.000, 0.000], [0.500, 0.000, 0.500], [0.500, 0.500, 0.000]]}

---

# 3
{"formula": "LaYSc2Rh", "functional": "PBE", "state": "optimized geometry", "sg": "P4/mmm (123)", "dft_energy_ev_per_atom": -6.56, "lattice_angstrom": [[-5.157, -0.091, -0.022], [0.024, -2.484, 4.520], [-0.095, 4.714, 2.591]], "species": ["Y", "Sc", "Sc", "Rh", "La"], "frac_coords": [[0.000, 0.000, 0.500], [0.000, 0.500, 0.000], [0.500, 0.000, 0.000], [0.000, 0.000, 0.000], [0.500, 0.500, 0.500]]}

---

# 4
{"formula": "Ce3ThTl", "functional": "PBE", "state": "optimized geometry", "sg": "Cmcm (63)", "dft_energy_ev_per_atom": -5.54, "lattice_angstrom": [[-2.707, -1.074, -4.630], [3.951, -5.205, -1.102], [-3.645, -4.103, 6.313]], "species": ["Ce", "Ce", "Ce", "Ce", "Ce", "Ce", "Th", "Th", "Tl", "Tl"], "frac_coords": [[0.904, 0.966, 0.309], [0.096, 0.466, 0.691], [0.096, 0.034, 0.691], [0.904, 0.534, 0.309], [0.310, 0.250, 0.121], [0.690, 0.750, 0.879], [0.502, 0.250, 0.504], [0.498, 0.750, 0.496], [0.291, 0.750, 0.081], [0.709, 0.250, 0.919]]}

---

# 5
{"formula": "Ca3Tm", "functional": "PBE", "state": "optimized geometry", "sg": "Pm-3m (221)", "relative_energy_mev_per_atom": 18, "lattice_angstrom": [[-3.912, 1.334, 3.420], [2.735, -2.276, 4.016], [2.450, 4.672, 0.979]], "species": ["Ca", "Ca", "Ca", "Tm"], "frac_coords": [[0.000, 0.500, 0.500], [0.500, 0.000, 0.500], [0.500, 0.500, 0.000], [0.000, 0.000, 0.000]]}

---

# 6
{"formula": "La2MgNiC", "functional": "PBE", "state": "optimized geometry", "sg": "P4/mmm (123)", "dft_energy_ev_per_atom": -5.40, "lattice_angstrom": [[-1.663, 3.819, 3.537], [-4.997, -0.131, -2.209], [-0.992, -2.656, 2.402]], "species": ["Ni", "Mg", "C", "La", "La"], "frac_coords": [[0.000, 0.000, 0.500], [0.500, 0.500, 0.500], [0.000, 0.000, 0.000], [0.000, 0.500, 0.000], [0.500, 0.000, 0.000]]}

---

# 7
{"formula": "Ba8PPd3I4", "functional": "PBE", "state": "optimized geometry", "e_form_raw_ev_per_atom": -1.082, "sg": "R-3m (166)", "lattice_angstrom": [[9.423, 0.000, 0.000], [0.000, 10.176, 0.524], [-4.711, -4.711, 6.665]], "species": ["Ba", "Ba", "Ba", "Ba", "Ba", "Ba", "Ba", "Ba", "P", "Pd", "Pd", "Pd", "I", "I", "I", "I"], "frac_coords": [[0.232, 0.698, 0.967], [0.232, 0.698, 0.463], [0.262, 0.288, 0.525], [0.735, 0.698, 0.967], [0.265, 0.302, 0.033], [0.738, 0.712, 0.475], [0.768, 0.302, 0.537], [0.768, 0.302, 0.033], [0.000, 0.500, 0.000], [0.500, 0.500, 0.000], [0.500, 0.500, 0.500], [0.000, 0.500, 0.500], [0.500, 0.000, 0.000], [0.500, 0.000, 0.500], [0.000, 0.000, 0.000], [0.000, 0.000, 0.500]]}

---

# 8
{"formula": "DyTmSiPt", "functional": "PBE", "state": "optimized geometry", "e_form_raw_ev_per_atom": -1.047, "sg": "Amm2 (38)", "lattice_angstrom": [[-2.222, 2.970, -1.373], [-2.264, -0.079, 3.492], [4.425, 2.025, 2.915]], "species": ["Dy", "Tm", "Si", "Pt"], "frac_coords": [[0.858, 0.500, 0.717], [0.141, 0.000, 0.282], [0.578, 0.500, 0.155], [0.423, 0.000, 0.846]]}

---

Number 1: mass density 6.35 g/cm³. Number 2: mass density 6.40 g/cm³. Number 3: mass density 4.88 g/cm³. Number 4: mass density 9.93 g/cm³. Number 5: mass density 3.11 g/cm³. Number 6: mass density 5.58 g/cm³. Number 7: mass density 4.91 g/cm³. Number 8: mass density 10.52 g/cm³.